A plane-wave DFT calculation with PBE was carried out for a relaxed Tb2BiRu crystal. Values from VASP.

Computed properties:
SG: R-3m, No. 166
Formation enthalpy at 0 K, eV/f.u.: -1.20
VASP energy, eV/atom: -5.90
Calculated density, Mg/m³: 9.91

The structure in Quantum ESPRESSO input format:
```
&SYSTEM
  ibrav = 0, nat = 4, ntyp = 3
/
ATOMIC_SPECIES
Tb 158.93 Tb.upf
Ru 101.07 Ru.upf
Bi 208.98 Bi.upf
CELL_PARAMETERS angstrom
-2.432 -2.733 0.503
0.761 -2.737 2.359
-4.383 2.793 7.543
ATOMIC_POSITIONS crystal
Tb 0.265 0.265 0.204
Tb 0.735 0.735 0.796
Ru 0.000 0.000 0.000
Bi 0.500 0.500 0.500
```

A plane-wave DFT calculation with PBE was carried out for a relaxed Tb5BiRu2 crystal. Values from VASP.

Computed properties:
SG: I4/mcm, No. 140
Formation enthalpy at 0 K, eV/f.u.: -3.84
VASP energy, eV/atom: -6.18
Calculated density, Mg/m³: 9.53

The structure in Quantum ESPRESSO input format:
```
&SYSTEM
  ibrav = 0, nat = 16, ntyp = 3
/
ATOMIC_SPECIES
Tb 158.93 Tb.upf
Ru 101.07 Ru.upf
Bi 208.98 Bi.upf
CELL_PARAMETERS angstrom
-0.376 -5.263 -5.730
7.746 -0.792 0.219
-4.335 -2.028 7.442
ATOMIC_POSITIONS crystal
Tb 0.525 0.714 0.739
Tb 0.025 0.525 0.739
Tb 0.214 0.025 0.739
Tb 0.975 0.475 0.261
Tb 0.714 0.214 0.739
Tb 0.000 0.000 0.000
Tb 0.475 0.286 0.261
Tb 0.786 0.975 0.261
Tb 0.286 0.786 0.261
Tb 0.500 0.500 0.000
Ru 0.143 0.357 0.000
Ru 0.857 0.643 0.000
Ru 0.357 0.857 0.000
Ru 0.643 0.143 0.000
Bi 0.750 0.750 0.500
Bi 0.250 0.250 0.500
```

A plane-wave DFT calculation with PBE was carried out for a relaxed Tb2BiRu crystal. Values from VASP.

Computed properties:
SG: P4/mmm, No. 123
Formation enthalpy at 0 K, eV/f.u.: -2.13
VASP energy, eV/atom: -6.14
Calculated density, Mg/m³: 10.49

The structure in Quantum ESPRESSO input format:
```
&SYSTEM
  ibrav = 0, nat = 4, ntyp = 3
/
ATOMIC_SPECIES
Ru 101.07 Ru.upf
Tb 158.93 Tb.upf
Bi 208.98 Bi.upf
CELL_PARAMETERS angstrom
3.441 0.000 0.000
0.000 3.441 0.000
0.000 0.000 8.393
ATOMIC_POSITIONS crystal
Ru 0.500 0.500 0.000
Tb 0.000 0.000 0.801
Tb 0.000 0.000 0.199
Bi 0.500 0.500 0.500
```

A plane-wave DFT calculation with PBE was carried out for a relaxed Tb4BiRu crystal. Values from VASP.

Computed properties:
SG: C2/c, No. 15
Formation enthalpy at 0 K, eV/f.u.: -2.91
VASP energy, eV/atom: -5.76
Calculated density, Mg/m³: 9.06

The structure in Quantum ESPRESSO input format:
```
&SYSTEM
  ibrav = 0, nat = 12, ntyp = 3
/
ATOMIC_SPECIES
Tb 158.93 Tb.upf
Bi 208.98 Bi.upf
Ru 101.07 Ru.upf
CELL_PARAMETERS angstrom
-1.927 -2.880 -5.154
2.161 -6.083 5.851
-6.433 4.500 2.003
ATOMIC_POSITIONS crystal
Tb 0.211 0.276 0.334
Tb 0.059 0.206 0.857
Tb 0.702 0.349 0.143
Tb 0.377 0.942 0.666
Tb 0.298 0.651 0.857
Tb 0.941 0.794 0.143
Tb 0.789 0.724 0.666
Tb 0.623 0.058 0.334
Bi 0.377 0.627 0.255
Bi 0.623 0.373 0.745
Ru 0.750 0.000 0.000
Ru 0.250 0.000 0.000
```